! TbPr8Tm6 | Alexandria | PBE | relaxed; values from VASP
&SYSTEM
  ibrav = 0, nat = 15, ntyp = 3
/
ATOMIC_SPECIES
Tm 168.93 Tm.upf
Pr 140.91 Pr.upf
Tb 158.93 Tb.upf
CELL_PARAMETERS angstrom
6.5673 0.0000 0.0000
0.0000 8.1838 -4.7249
0.0000 0.0000 9.4498
ATOMIC_POSITIONS crystal
Tm 0.6573 0.6572 0.0970
Tm 0.3427 0.3428 0.9030
Tm 0.6573 0.9030 0.5602
Tm 0.6573 0.4398 0.3428
Tm 0.3427 0.0970 0.4398
Tm 0.3427 0.5602 0.6572
Pr 0.8782 0.3333 0.6667
Pr 0.1697 0.2893 0.2490
Pr 0.1697 0.7510 0.0403
Pr 0.8303 0.7107 0.7510
Pr 0.8303 0.0403 0.2893
Pr 0.8303 0.2490 0.9597
Pr 0.1697 0.9597 0.7107
Pr 0.1218 0.6667 0.3333
Tb 0.5000 0.0000 0.0000
! Raw total energy: -4.47 eV per atom
! Symmetry: P-3, No. 147
! Mass density: 7519 kg/m3
! Density of states at the Fermi level: 22.9 states/eV per cell
! Total magnetic moment: 0.00 μB per formula unit